No. 1
VASP calculation (PBE-GGA) on an optimized crystal structure of Pm15Dy4Tl.

Cell: 5.077 5.077 25.668 Å, 90.00 90.00 90.00°
Fractional positions:
Pm (0.500, 0.500, 0.000)
Pm (0.500, 0.500, 0.197)
Pm (0.500, 0.500, 0.399)
Pm (0.500, 0.500, 0.601)
Pm (0.500, 0.500, 0.803)
Pm (0.500, 0.000, 0.097)
Pm (0.500, 0.000, 0.299)
Pm (0.500, 0.000, 0.500)
Pm (0.500, 0.000, 0.701)
Pm (0.500, 0.000, 0.903)
Pm (0.000, 0.500, 0.097)
Pm (0.000, 0.500, 0.299)
Pm (0.000, 0.500, 0.500)
Pm (0.000, 0.500, 0.701)
Pm (0.000, 0.500, 0.903)
Dy (0.000, 0.000, 0.198)
Dy (0.000, 0.000, 0.400)
Dy (0.000, 0.000, 0.600)
Dy (0.000, 0.000, 0.802)
Tl (0.000, 0.000, 0.000)

Calculated values
Total magnetic moment in μB per formula unit: 0.00
Crystal system: tetragonal
Energy of formation from the pure elements in meV/atom: -23
Raw total energy in eV/atom: -4.625

No. 2
VASP calculation (PBE-GGA) on an optimized crystal structure of AcNd3Ho6.

Cell: 9.014 9.191 9.191 Å, 116.71 90.00 90.00°
Fractional positions:
Ac (0.079, 0.277, 0.723)
Ac (0.579, 0.723, 0.277)
Nd (0.491, 0.817, 0.699)
Nd (0.991, 0.699, 0.817)
Nd (0.315, 0.452, 0.548)
Nd (0.815, 0.548, 0.452)
Nd (0.991, 0.183, 0.301)
Nd (0.491, 0.301, 0.183)
Ho (0.164, 0.819, 0.530)
Ho (0.664, 0.530, 0.819)
Ho (0.322, 0.678, 0.971)
Ho (0.822, 0.971, 0.678)
Ho (0.181, 0.051, 0.949)
Ho (0.454, 0.215, 0.785)
Ho (0.954, 0.785, 0.215)
Ho (0.681, 0.949, 0.051)
Ho (0.322, 0.029, 0.322)
Ho (0.822, 0.322, 0.029)
Ho (0.164, 0.470, 0.181)
Ho (0.664, 0.181, 0.470)

Calculated values
Total magnetic moment in μB per formula unit: 0.00
Crystal system: orthorhombic
Energy relative to the lowest polymorph listed for this composition in eV per atom: 0.000
Energy of formation from the pure elements in meV/atom: 135
Raw total energy in eV/atom: -4.453

No. 3
VASP calculation (PBE-GGA) on an optimized crystal structure of TaAl3Fe.

Cell: 4.384 4.384 4.384 Å, 90.00 90.00 90.00°
Fractional positions:
Al (0.000, 0.500, 0.000)
Al (0.000, 0.000, 0.500)
Al (0.500, 0.000, 0.000)
Fe (0.000, 0.000, 0.000)
Ta (0.500, 0.500, 0.500)

Calculated values
Total magnetic moment in μB per formula unit: 1.91
Crystal system: cubic
Energy relative to the lowest polymorph listed for this composition in eV per atom: 0.000
Energy of formation from the pure elements in meV/atom: 481
Raw total energy in eV/atom: -5.828

No. 4
VASP calculation (PBE-GGA) on an optimized crystal structure of Ag2Te2Pb.

Cell: 8.764 8.764 3.482 Å, 90.00 90.00 90.00°
Fractional positions:
Pb (0.000, 0.000, 0.000)
Pb (0.500, 0.500, 0.000)
Te (0.325, 0.825, 0.000)
Te (0.825, 0.675, 0.000)
Te (0.675, 0.175, 0.000)
Te (0.175, 0.325, 0.000)
Ag (0.122, 0.622, 0.500)
Ag (0.622, 0.878, 0.500)
Ag (0.878, 0.378, 0.500)
Ag (0.378, 0.122, 0.500)

Calculated values
Total magnetic moment in μB per formula unit: 0.00
Crystal system: tetragonal
Energy relative to the lowest polymorph listed for this composition in eV per atom: 0.172
Formation energy (no corrections) in meV/atom: 25
Raw total energy in eV/atom: -3.114

No. 5
VASP calculation (PBE-GGA) on an optimized crystal structure of LuBiRu2.

Cell: 4.686 4.686 4.686 Å, 60.00 60.00 60.00°
Fractional positions:
Ru (0.250, 0.250, 0.250)
Ru (0.750, 0.750, 0.750)
Lu (0.500, 0.500, 0.500)
Bi (0.000, 0.000, 0.000)

Calculated values
Total magnetic moment in μB per formula unit: 0.00
Crystal system: cubic
Energy relative to the lowest polymorph listed for this composition in eV per atom: 0.000
Energy of formation from the pure elements in meV/atom: -241
Raw total energy in eV/atom: -6.980

No. 6
VASP calculation (PBE-GGA) on an optimized crystal structure of Pr4Y3TmTe8.

Cell: 8.769 9.004 8.769 Å, 119.14 120.00 90.00°
Fractional positions:
Pr (0.500, 0.000, 0.000)
Pr (0.500, 0.000, 0.500)
Pr (0.000, 0.000, 0.000)
Pr (0.000, 0.000, 0.500)
Y (0.500, 0.500, 0.000)
Y (0.500, 0.500, 0.500)
Y (0.000, 0.500, 0.500)
Tm (0.000, 0.500, 0.000)
Te (0.243, 0.734, 0.991)
Te (0.243, 0.734, 0.486)
Te (0.255, 0.264, 0.510)
Te (0.747, 0.734, 0.991)
Te (0.253, 0.266, 0.009)
Te (0.745, 0.736, 0.490)
Te (0.757, 0.266, 0.514)
Te (0.757, 0.266, 0.009)

Calculated values
Total magnetic moment in μB per formula unit: 0.00
Crystal system: trigonal
Formation energy (no corrections) in meV/atom: -1361
Raw total energy in eV/atom: -5.618

No. 7
VASP calculation (PBE-GGA) on an optimized crystal structure of CuTe2P.

Cell: 5.935 5.935 7.646 Å, 67.16 67.16 90.00°
Fractional positions:
P (0.500, 0.500, 0.000)
P (0.250, 0.750, 0.500)
Te (0.644, 0.125, 0.250)
Te (0.106, 0.625, 0.250)
Te (0.375, 0.356, 0.750)
Te (0.875, 0.894, 0.750)
Cu (0.000, 0.000, 0.000)
Cu (0.750, 0.250, 0.500)

Calculated values
Total magnetic moment in μB per formula unit: 0.00
Crystal system: tetragonal
Formation energy (no corrections) in meV/atom: 227
Raw total energy in eV/atom: -3.721

No. 8
VASP calculation (PBE-GGA) on an optimized crystal structure of Ce3Pt2N2.

Cell: 3.887 6.861 6.481 Å, 119.87 90.00 106.46°
Fractional positions:
Ce (0.000, 0.000, 0.000)
Ce (0.791, 0.582, 0.321)
Ce (0.209, 0.418, 0.679)
Pt (0.552, 0.104, 0.744)
Pt (0.448, 0.896, 0.256)
N (0.804, 0.608, 0.687)
N (0.196, 0.392, 0.313)

Calculated values
Total magnetic moment in μB per formula unit: 0.73
Crystal system: monoclinic
Formation energy (no corrections) in meV/atom: -1222
Raw total energy in eV/atom: -7.870

No. 9
VASP calculation (PBE-GGA) on an optimized crystal structure of NaAcGaO4.

Cell: 6.298 4.758 7.952 Å, 90.00 105.98 90.00°
Fractional positions:
Na (0.682, 0.750, 0.988)
Na (0.318, 0.250, 0.012)
Ac (0.736, 0.750, 0.432)
Ac (0.264, 0.250, 0.568)
Ga (0.204, 0.750, 0.260)
Ga (0.796, 0.250, 0.740)
O (0.016, 0.514, 0.739)
O (0.984, 0.014, 0.261)
O (0.984, 0.486, 0.261)
O (0.016, 0.986, 0.739)
O (0.420, 0.750, 0.149)
O (0.580, 0.250, 0.851)
O (0.363, 0.750, 0.504)
O (0.637, 0.250, 0.496)

Calculated values
Total magnetic moment in μB per formula unit: 0.21
Crystal system: monoclinic
Formation energy (no corrections) in meV/atom: -2010
Raw total energy in eV/atom: -6.051

No. 10
VASP calculation (PBE-GGA) on an optimized crystal structure of Co2CuB2.

Cell: 5.793 5.793 2.533 Å, 90.00 90.00 90.00°
Fractional positions:
B (0.369, 0.869, 0.000)
B (0.869, 0.631, 0.000)
B (0.631, 0.131, 0.000)
B (0.131, 0.369, 0.000)
Co (0.157, 0.657, 0.500)
Co (0.657, 0.843, 0.500)
Co (0.843, 0.343, 0.500)
Co (0.343, 0.157, 0.500)
Cu (0.000, 0.000, 0.000)
Cu (0.500, 0.500, 0.000)

Calculated values
Total magnetic moment in μB per formula unit: 0.00
Crystal system: tetragonal
Energy of formation from the pure elements in meV/atom: -148
Raw total energy in eV/atom: -6.480

No. 11
VASP calculation (PBE-GGA) on an optimized crystal structure of Ce3VN6.

Cell: 5.502 7.390 7.390 Å, 103.03 90.00 90.00°
Fractional positions:
Ce (0.470, 0.913, 0.697)
Ce (0.970, 0.697, 0.913)
Ce (0.441, 0.394, 0.606)
Ce (0.941, 0.606, 0.394)
Ce (0.970, 0.087, 0.303)
Ce (0.470, 0.303, 0.087)
V (0.014, 0.197, 0.803)
V (0.514, 0.803, 0.197)
N (0.214, 0.669, 0.650)
N (0.714, 0.650, 0.669)
N (0.175, 0.412, 0.887)
N (0.675, 0.887, 0.412)
N (0.140, 0.055, 0.945)
N (0.674, 0.212, 0.788)
N (0.174, 0.788, 0.212)
N (0.640, 0.945, 0.055)
N (0.175, 0.113, 0.588)
N (0.675, 0.588, 0.113)
N (0.214, 0.350, 0.331)
N (0.714, 0.331, 0.350)

Calculated values
Total magnetic moment in μB per formula unit: 0.00
Crystal system: orthorhombic
Formation energy (no corrections) in meV/atom: -1166
Raw total energy in eV/atom: -8.853

No. 12
VASP calculation (PBE-GGA) on an optimized crystal structure of Re2HgSe.

Cell: 2.965 2.965 8.582 Å, 90.00 90.00 90.00°
Fractional positions:
Hg (0.500, 0.500, 0.795)
Re (0.000, 0.000, 0.041)
Re (0.500, 0.500, 0.234)
Se (0.000, 0.000, 0.429)

Calculated values
Total magnetic moment in μB per formula unit: 0.00
Crystal system: tetragonal
Energy relative to the lowest polymorph listed for this composition in eV per atom: 0.011
Formation energy (no corrections) in meV/atom: 336
Raw total energy in eV/atom: -6.834

No. 13
VASP calculation (PBE-GGA) on an optimized crystal structure of Lu2NiRu.

Cell: 4.690 4.690 4.690 Å, 60.00 60.00 60.00°
Fractional positions:
Ru (0.500, 0.500, 0.500)
Lu (0.750, 0.750, 0.750)
Lu (0.250, 0.250, 0.250)
Ni (0.000, 0.000, 0.000)

Calculated values
Total magnetic moment in μB per formula unit: 0.00
Crystal system: cubic
Energy relative to the lowest polymorph listed for this composition in eV per atom: 0.023
Energy of formation from the pure elements in meV/atom: -517
Raw total energy in eV/atom: -6.541

No. 14
VASP calculation (PBE-GGA) on an optimized crystal structure of PaCdPd4.

Cell: 4.106 5.681 9.972 Å, 90.00 101.88 90.00°
Fractional positions:
Pa (0.417, 0.250, 0.835)
Pa (0.583, 0.750, 0.165)
Cd (0.729, 0.250, 0.458)
Cd (0.271, 0.750, 0.542)
Pd (0.000, 0.000, 0.000)
Pd (0.000, 0.500, 0.000)
Pd (0.148, 0.003, 0.295)
Pd (0.852, 0.503, 0.705)
Pd (0.148, 0.497, 0.295)
Pd (0.852, 0.997, 0.705)
Pd (0.574, 0.250, 0.147)
Pd (0.426, 0.750, 0.853)

Calculated values
Total magnetic moment in μB per formula unit: 0.00
Crystal system: orthorhombic
Energy of formation from the pure elements in meV/atom: -597
Raw total energy in eV/atom: -5.794

No. 15
VASP calculation (PBE-GGA) on an optimized crystal structure of NaMo3.

Cell: 4.525 4.525 4.525 Å, 60.00 60.00 60.00°
Fractional positions:
Na (0.000, 0.000, 0.000)
Mo (0.250, 0.250, 0.250)
Mo (0.750, 0.750, 0.750)
Mo (0.500, 0.500, 0.500)

Calculated values
Total magnetic moment in μB per formula unit: 0.00
Crystal system: cubic
Energy of formation from the pure elements in meV/atom: 918
Raw total energy in eV/atom: -7.536

No. 16
VASP calculation (PBE-GGA) on an optimized crystal structure of AlRe2Ni.

Cell: 3.036 3.036 6.010 Å, 90.00 90.00 90.00°
Fractional positions:
Re (0.000, 0.000, 0.002)
Re (0.500, 0.500, 0.243)
Al (0.000, 0.000, 0.525)
Ni (0.500, 0.500, 0.730)

Calculated values
Total magnetic moment in μB per formula unit: 0.00
Crystal system: tetragonal
Energy of formation from the pure elements in meV/atom: -142
Raw total energy in eV/atom: -8.747

No. 17
VASP calculation (PBE-GGA) on an optimized crystal structure of Zn2CdPt.

Cell: 2.960 3.779 5.888 Å, 90.00 90.00 90.00°
Fractional positions:
Cd (0.000, 0.000, 0.498)
Pt (0.500, 0.500, 0.785)
Zn (0.000, 0.000, 0.985)
Zn (0.500, 0.500, 0.233)

Calculated values
Total magnetic moment in μB per formula unit: 0.00
Crystal system: orthorhombic
Energy of formation from the pure elements in meV/atom: -217
Raw total energy in eV/atom: -2.593

No. 18
VASP calculation (PBE-GGA) on an optimized crystal structure of AsOsN2.

Cell: 6.421 6.421 6.421 Å, 25.85 25.85 25.85°
Fractional positions:
As (0.500, 0.500, 0.500)
Os (0.000, 0.000, 0.000)
N (0.893, 0.893, 0.893)
N (0.107, 0.107, 0.107)

Calculated values
Total magnetic moment in μB per formula unit: 0.00
Crystal system: trigonal
Formation energy (no corrections) in meV/atom: 669
Raw total energy in eV/atom: -7.463

No. 19
VASP calculation (PBE-GGA) on an optimized crystal structure of Cr2NiI.

Cell: 5.274 5.274 7.979 Å, 70.70 70.70 90.00°
Fractional positions:
I (0.000, 0.000, 0.000)
I (0.750, 0.250, 0.500)
Ni (0.500, 0.500, 0.000)
Ni (0.250, 0.750, 0.500)
Cr (0.541, 0.125, 0.250)
Cr (0.209, 0.625, 0.250)
Cr (0.375, 0.459, 0.750)
Cr (0.875, 0.791, 0.750)

Calculated values
Total magnetic moment in μB per formula unit: 8.08
Crystal system: tetragonal
Energy relative to the lowest polymorph listed for this composition in eV per atom: 0.147
Formation energy (no corrections) in meV/atom: 1035
Raw total energy in eV/atom: -5.610

No. 20
VASP calculation (PBE-GGA) on an optimized crystal structure of SrPm2Zn3.

Cell: 3.722 3.722 11.300 Å, 90.00 90.00 90.00°
Fractional positions:
Sr (0.500, 0.500, 0.500)
Pm (0.500, 0.500, 0.842)
Pm (0.500, 0.500, 0.158)
Zn (0.000, 0.000, 0.000)
Zn (0.000, 0.000, 0.690)
Zn (0.000, 0.000, 0.310)

Calculated values
Total magnetic moment in μB per formula unit: 0.00
Crystal system: tetragonal
Energy of formation from the pure elements in meV/atom: -272
Raw total energy in eV/atom: -2.773